VASP calculation (PBE-GGA) on a geometry-optimized YTeAu3 structure.

Properties
excess energy over the best structure of this formula in the dataset	0.000	eV per formula unit
E_form (uncorrected)	0.222	eV per atom

a b c (Å): 5.2128 5.2128 5.2128
angles (deg): 90.00 90.00 90.00
With the nearest neighbours (Å) after each atom.
Positions (direct):
Y1 0.5000 0.5000 0.5000  12 Au 3.69
Te1 0.0000 0.0000 0.0000  6 Au 2.61
Au1 0.0000 0.5000 0.0000  2 Te 2.61
Au2 0.0000 0.0000 0.5000  2 Te 2.61
Au3 0.5000 0.0000 0.0000  2 Te 2.61